No. 1
A geometry-optimized Y2BeCdN structure. Source: Alexandria, functional PBE-GGA.

## Properties
Its space group is P4/mmm, No. 123. The value obtained for the uncorrected formation energy is -0.598 eV per atom. As for the total magnetization: 0.0 μB/cell.

Cell: 5.1191 5.1191 3.4707 Å, 90.00 90.00 90.00°
Atoms (fractional coordinates):
Be 0.0000 0.0000 0.5000
Y 0.0000 0.5000 0.0000
Y 0.5000 0.0000 0.0000
Cd 0.5000 0.5000 0.5000
N 0.0000 0.0000 0.0000

---

No. 2
A geometry-optimized Zr2BeCdN structure. Source: Alexandria, functional PBE-GGA.

## Properties
Its space group is P4/mmm, No. 123. The value obtained for the uncorrected formation energy is -0.519 eV per atom. As for the total magnetization: 0.0 μB/cell.

Cell: 4.7225 4.7225 3.4750 Å, 90.00 90.00 90.00°
Atoms (fractional coordinates):
Zr 0.0000 0.5000 0.0000
Zr 0.5000 0.0000 0.0000
Be 0.0000 0.0000 0.5000
N 0.0000 0.0000 0.0000
Cd 0.5000 0.5000 0.5000

---

No. 3
A geometry-optimized NaBeCd structure. Source: Alexandria, functional PBE-GGA.

## Properties
Its space group is Pmmm, No. 47. Its energy above the most stable polymorph in this dataset is 96 meV per atom. The value obtained for the energy relative to the elements is 319.7 meV/atom. As for the total magnetization: 0.0 μB/cell.

Cell: 4.2041 2.8209 5.3454 Å, 90.00 90.00 90.00°
Atoms (fractional coordinates):
Be 0.0000 0.5000 0.5000
Na 0.0000 0.0000 0.0000
Cd 0.5000 0.0000 0.5000

---

No. 4
A geometry-optimized Na3BeCd structure. Source: Alexandria, functional PBE-GGA.

## Properties
Its space group is Pm-3m, No. 221. Its energy above the most stable polymorph in this dataset is 217 meV per atom. The value obtained for the energy relative to the elements is 751.1 meV/atom. As for the total magnetization: 0.0 μB/cell.

Cell: 5.7077 5.7077 5.7077 Å, 90.00 90.00 90.00°
Atoms (fractional coordinates):
Na 0.0000 0.0000 0.5000
Na 0.0000 0.5000 0.0000
Na 0.5000 0.0000 0.0000
Cd 0.0000 0.0000 0.0000
Be 0.5000 0.5000 0.5000

---

No. 5
A geometry-optimized NaBeCd structure. Source: Alexandria, functional PBE-GGA.

## Properties
Its space group is P2_1/m, No. 11. Its energy above the most stable polymorph in this dataset is 3 meV per atom. The value obtained for the energy relative to the elements is 227.1 meV/atom. As for the total magnetization: 0.0 μB/cell.

Cell: 4.8908 4.1476 6.3786 Å, 90.00 94.38 90.00°
Atoms (fractional coordinates):
Cd 0.8556 0.7500 0.8716
Cd 0.1444 0.2500 0.1284
Na 0.7326 0.7500 0.3667
Na 0.2674 0.2500 0.6333
Be 0.3881 0.7500 0.9806
Be 0.6119 0.2500 0.0194

---

No. 6
A geometry-optimized NaBe2Cd2 structure. Source: Alexandria, functional PBE-GGA.

## Properties
Its space group is I4/mmm, No. 139. Its energy above the most stable polymorph in this dataset is 3 meV per atom. The value obtained for the energy relative to the elements is 296.4 meV/atom. As for the total magnetization: 0.0 μB/cell.

Cell: 3.0567 3.0567 9.8146 Å, 81.04 81.04 90.00°
Atoms (fractional coordinates):
Be 0.7500 0.2500 0.5000
Be 0.2500 0.7500 0.5000
Na 0.0000 0.0000 0.0000
Cd 0.6300 0.6300 0.7401
Cd 0.3700 0.3700 0.2599